Computed, not measured: a relaxed AgHg2SbS4 crystal at the GGA-PBE level of DFT.

Unit cell a=6.523 b=8.008 c=8.298 alpha=90.00 beta=90.00 gamma=90.00
Positions (direct):
1 Hg 0.997 0.655 0.241
2 Hg 0.497 0.345 0.741
3 Hg 0.497 0.345 0.259
4 Hg 0.997 0.655 0.759
5 S 0.401 0.659 0.242
6 S 0.879 0.820 0.000
7 S 0.363 0.172 0.000
8 S 0.901 0.341 0.258
9 S 0.379 0.180 0.500
10 S 0.863 0.828 0.500
11 S 0.401 0.659 0.758
12 S 0.901 0.341 0.742
13 Sb 0.973 0.172 0.000
14 Sb 0.473 0.828 0.500
15 Ag 0.990 0.133 0.500
16 Ag 0.490 0.867 0.000

* total magnetic moment: 0.00 μB/f.u.
* SG: Pmn2_1
* formation energy from raw total energies: -1.84 kcal/mol of atoms

=====

Computed, not measured: a relaxed SiAgHg2S4 crystal at the GGA-PBE level of DFT.

Unit cell a=6.547 b=7.895 c=7.410 alpha=90.00 beta=90.00 gamma=90.00
Positions (direct):
1 S 0.907 0.326 0.242
2 S 0.907 0.326 0.758
3 S 0.407 0.674 0.742
4 S 0.877 0.952 0.000
5 S 0.377 0.048 0.500
6 S 0.407 0.674 0.258
7 S 0.837 0.805 0.500
8 S 0.337 0.195 0.000
9 Hg 0.991 0.663 0.801
10 Hg 0.991 0.663 0.199
11 Hg 0.491 0.337 0.699
12 Hg 0.491 0.337 0.301
13 Ag 0.486 0.894 0.000
14 Ag 0.986 0.106 0.500
15 Si 0.004 0.200 0.000
16 Si 0.504 0.800 0.500

* total magnetic moment: 0.00 μB/f.u.
* SG: Pmn2_1
* formation energy from raw total energies: -5.04 kcal/mol of atoms

=====

Computed, not measured: a relaxed Ag2SnHgS4 crystal at the GGA-PBE level of DFT.

Unit cell a=6.845 b=7.263 c=8.181 alpha=90.00 beta=90.00 gamma=90.00
Positions (direct):
1 S 0.361 0.679 0.000
2 S 0.861 0.321 0.500
3 S 0.384 0.649 0.500
4 S 0.884 0.351 0.000
5 S 0.887 0.835 0.759
6 S 0.887 0.835 0.241
7 S 0.387 0.165 0.259
8 S 0.387 0.165 0.741
9 Hg 0.502 0.349 0.000
10 Hg 0.002 0.651 0.500
11 Ag 0.014 0.170 0.247
12 Ag 0.014 0.170 0.753
13 Ag 0.514 0.830 0.747
14 Ag 0.514 0.830 0.253
15 Sn 0.003 0.667 0.000
16 Sn 0.503 0.333 0.500

* total magnetic moment: 0.00 μB/f.u.
* SG: Pmn2_1
* formation energy from raw total energies: -5.14 kcal/mol of atoms

=====

> Which value of total magnetic moment does entry 2 give?

0.00 μB/f.u.